# HfCuBiIr (PBE, relaxed)
data_HfCuBiIr
_chemical_formula_sum 'Hf1 Cu1 Bi1 Ir1'
_space_group_name_H-M_alt 'P 1'
_space_group_IT_number 1
_space_group_name_Hall 'P 1'
_cell_length_a 4.708
_cell_length_b 4.708
_cell_length_c 4.708
_cell_angle_alpha 60.00
_cell_angle_beta 60.00
_cell_angle_gamma 60.00
loop_
_atom_site_label
_atom_site_type_symbol
_atom_site_fract_x
_atom_site_fract_y
_atom_site_fract_z
_atom_site_occupancy
Hf1 Hf 0.500 0.500 0.500 1
Cu1 Cu 0.750 0.750 0.750 1
Bi1 Bi 0.000 0.000 0.000 1
Ir1 Ir 0.250 0.250 0.250 1
# space-group type: No. 216
# energy: -27.09 eV per cell



# Mg2Nb (PBE, relaxed)
data_Mg2Nb
_chemical_formula_sum 'Mg4 Nb2'
_space_group_name_H-M_alt 'P 1'
_space_group_IT_number 1
_space_group_name_Hall 'P 1'
_cell_length_a 7.826
_cell_length_b 7.826
_cell_length_c 2.673
_cell_angle_alpha 90.00
_cell_angle_beta 90.00
_cell_angle_gamma 90.00
loop_
_atom_site_label
_atom_site_type_symbol
_atom_site_fract_x
_atom_site_fract_y
_atom_site_fract_z
_atom_site_occupancy
Mg1 Mg 0.760 0.240 0.500 1
Mg2 Mg 0.740 0.740 0.000 1
Mg3 Mg 0.240 0.760 0.500 1
Mg4 Mg 0.260 0.260 0.000 1
Nb1 Nb 0.500 0.500 0.500 1
Nb2 Nb 0.000 0.000 0.000 1
# space-group type: No. 136
# energy: -21.80 eV per cell



# Tm4TlGaC2 (PBE, relaxed)
data_Tm4TlGaC2
_chemical_formula_sum 'Tm4 Tl1 Ga1 C2'
_space_group_name_H-M_alt 'P 1'
_space_group_IT_number 1
_space_group_name_Hall 'P 1'
_cell_length_a 3.540
_cell_length_b 3.540
_cell_length_c 15.694
_cell_angle_alpha 90.00
_cell_angle_beta 90.00
_cell_angle_gamma 120.00
loop_
_atom_site_label
_atom_site_type_symbol
_atom_site_fract_x
_atom_site_fract_y
_atom_site_fract_z
_atom_site_occupancy
Tm1 Tm 0.000 0.000 0.175 1
C1 C 0.667 0.333 0.743 1
Tm2 Tm 0.333 0.667 0.345 1
Ga1 Ga 0.000 0.000 0.500 1
Tm3 Tm 0.333 0.667 0.655 1
C2 C 0.667 0.333 0.257 1
Tl1 Tl 0.333 0.667 0.000 1
Tm4 Tm 0.000 0.000 0.825 1
# space-group type: No. 187
# energy: -45.08 eV per cell



# Dy2HoAl3NiGe2 (PBE, relaxed)
data_Dy2HoAl3NiGe2
_chemical_formula_sum 'Dy2 Ho1 Al3 Ni1 Ge2'
_space_group_name_H-M_alt 'P 1'
_space_group_IT_number 1
_space_group_name_Hall 'P 1'
_cell_length_a 4.178
_cell_length_b 6.935
_cell_length_c 6.935
_cell_angle_alpha 119.99
_cell_angle_beta 90.00
_cell_angle_gamma 90.00
loop_
_atom_site_label
_atom_site_type_symbol
_atom_site_fract_x
_atom_site_fract_y
_atom_site_fract_z
_atom_site_occupancy
Dy1 Dy 0.000 0.597 0.000 1
Ni1 Ni 0.000 0.001 0.001 1
Ge1 Ge 0.500 0.334 0.666 1
Al1 Al 0.500 0.771 0.771 1
Ho1 Ho 0.000 0.403 0.403 1
Dy2 Dy 0.000 0.000 0.597 1
Ge2 Ge 0.500 0.666 0.334 1
Al2 Al 0.500 0.000 0.229 1
Al3 Al 0.500 0.229 0.000 1
# space-group type: No. 38
# energy: -46.55 eV per cell



# BaCdNiS3 (PBE, relaxed)
data_BaCdNiS3
_chemical_formula_sum 'Ba2 Cd2 Ni2 S6'
_space_group_name_H-M_alt 'P 1'
_space_group_IT_number 1
_space_group_name_Hall 'P 1'
_cell_length_a 6.833
_cell_length_b 6.833
_cell_length_c 10.380
_cell_angle_alpha 90.00
_cell_angle_beta 90.00
_cell_angle_gamma 145.46
loop_
_atom_site_label
_atom_site_type_symbol
_atom_site_fract_x
_atom_site_fract_y
_atom_site_fract_z
_atom_site_occupancy
S1 S 0.555 0.445 0.250 1
S2 S 0.130 0.870 0.570 1
S3 S 0.870 0.130 0.070 1
Ba1 Ba 0.248 0.752 0.250 1
Ba2 Ba 0.752 0.248 0.750 1
S4 S 0.445 0.555 0.750 1
Ni1 Ni 0.970 0.030 0.250 1
S5 S 0.870 0.130 0.430 1
S6 S 0.130 0.870 0.930 1
Cd1 Cd 0.500 0.500 0.500 1
Ni2 Ni 0.030 0.970 0.750 1
Cd2 Cd 0.500 0.500 0.000 1
# space-group type: No. 63
# energy: -51.91 eV per cell



# TlAsPd (PBE, relaxed)
data_TlAsPd
_chemical_formula_sum 'Tl1 As1 Pd1'
_space_group_name_H-M_alt 'P 1'
_space_group_IT_number 1
_space_group_name_Hall 'P 1'
_cell_length_a 4.538
_cell_length_b 4.538
_cell_length_c 4.538
_cell_angle_alpha 60.00
_cell_angle_beta 60.00
_cell_angle_gamma 60.00
loop_
_atom_site_label
_atom_site_type_symbol
_atom_site_fract_x
_atom_site_fract_y
_atom_site_fract_z
_atom_site_occupancy
Tl1 Tl 0.750 0.750 0.750 1
Pd1 Pd 0.000 0.000 0.000 1
As1 As 0.250 0.250 0.250 1
# space-group type: No. 216
# energy: -12.35 eV per cell



Q: The highest energy belongs to which entry?
A: TlAsPd



Please write out number 4 again, unchanged.
# Dy2HoAl3NiGe2 (PBE, relaxed)
data_Dy2HoAl3NiGe2
_chemical_formula_sum 'Dy2 Ho1 Al3 Ni1 Ge2'
_space_group_name_H-M_alt 'P 1'
_space_group_IT_number 1
_space_group_name_Hall 'P 1'
_cell_length_a 4.178
_cell_length_b 6.935
_cell_length_c 6.935
_cell_angle_alpha 119.99
_cell_angle_beta 90.00
_cell_angle_gamma 90.00
loop_
_atom_site_label
_atom_site_type_symbol
_atom_site_fract_x
_atom_site_fract_y
_atom_site_fract_z
_atom_site_occupancy
Dy1 Dy 0.000 0.597 0.000 1
Ni1 Ni 0.000 0.001 0.001 1
Ge1 Ge 0.500 0.334 0.666 1
Al1 Al 0.500 0.771 0.771 1
Ho1 Ho 0.000 0.403 0.403 1
Dy2 Dy 0.000 0.000 0.597 1
Ge2 Ge 0.500 0.666 0.334 1
Al2 Al 0.500 0.000 0.229 1
Al3 Al 0.500 0.229 0.000 1
# space-group type: No. 38
# energy: -46.55 eV per cell



Please write out number 2 again, unchanged.
# Mg2Nb (PBE, relaxed)
data_Mg2Nb
_chemical_formula_sum 'Mg4 Nb2'
_space_group_name_H-M_alt 'P 1'
_space_group_IT_number 1
_space_group_name_Hall 'P 1'
_cell_length_a 7.826
_cell_length_b 7.826
_cell_length_c 2.673
_cell_angle_alpha 90.00
_cell_angle_beta 90.00
_cell_angle_gamma 90.00
loop_
_atom_site_label
_atom_site_type_symbol
_atom_site_fract_x
_atom_site_fract_y
_atom_site_fract_z
_atom_site_occupancy
Mg1 Mg 0.760 0.240 0.500 1
Mg2 Mg 0.740 0.740 0.000 1
Mg3 Mg 0.240 0.760 0.500 1
Mg4 Mg 0.260 0.260 0.000 1
Nb1 Nb 0.500 0.500 0.500 1
Nb2 Nb 0.000 0.000 0.000 1
# space-group type: No. 136
# energy: -21.80 eV per cell